(1)
Compound: CaYGa2Pt
Source: Alexandria
Functional: PBE
Structure: relaxed

Cell lengths 5.174, 5.174, 4.990 Å; angles 90.00, 90.00, 90.00 degrees
Atoms (fractional coordinates):
Ca 0.000 0.000 0.000
Y 0.500 0.500 0.500
Ga 0.000 0.500 0.000
Ga 0.500 0.000 0.000
Pt 0.000 0.000 0.500

SG: No. 123
Uncorrected energy: -3.7568 eV/atom
Volume: 133.6 Å³ per cell
Formation energy from the elements: 0.355 eV/atom

=====

(2)
Compound: Y2MnMo
Source: Alexandria
Functional: PBE
Structure: relaxed

Cell lengths 3.399, 4.998, 10.125 Å; angles 90.00, 90.00, 90.00 degrees
Atoms (fractional coordinates):
Y 0.000 0.000 0.000
Y 0.000 0.500 0.217
Y 0.500 0.000 0.717
Y 0.500 0.500 0.500
Mn 0.000 0.500 0.765
Mn 0.500 0.000 0.265
Mo 0.000 0.000 0.422
Mo 0.500 0.500 0.922

SG: No. 44
Uncorrected energy: -8.0124 eV/atom
Excess energy over the best structure of this formula in the dataset: 51 meV per atom
Volume: 172.0 Å³ per cell
Formation energy from the elements: 0.220 eV/atom